# 1
{
  "formula": "AcRu3C",
  "functional": "PBE",
  "state": "optimized geometry",
  "lattice_angstrom": [[4.2941, 0.0000, 0.0000], [0.0000, 4.2941, 0.0000], [0.0000, 0.0000, 4.2941]],
  "species": ["Ru", "Ru", "Ru", "Ac", "C"],
  "fractional_positions": [[0.0000, 0.5000, 0.0000], [0.0000, 0.0000, 0.5000], [0.5000, 0.0000, 0.0000], [0.5000, 0.5000, 0.5000], [0.0000, 0.0000, 0.0000]],
  "formation_enthalpy_0k_ev_per_atom": 0.120,
  "crystal_system": "cubic",
  "magmom_total_mub_per_atom": 0.000
}

=====

# 2
{
  "formula": "Cs3ThU2Te6",
  "functional": "PBE",
  "state": "optimized geometry",
  "lattice_angstrom": [[-1.1615, 6.9202, 3.6145], [-5.6874, -3.1001, -4.5106], [-1.0760, -5.6051, 7.5118]],
  "species": ["Cs", "Cs", "Cs", "Th", "U", "U", "Te", "Te", "Te", "Te", "Te", "Te"],
  "fractional_positions": [[0.1656, 0.8344, 0.5000], [0.8344, 0.1656, 0.5000], [0.5000, 0.5000, 0.5000], [0.0000, 0.0000, 0.0000], [0.3331, 0.6669, 0.0000], [0.6669, 0.3331, 0.0000], [0.9346, 0.6002, 0.8043], [0.7303, 0.7303, 0.1951], [0.0654, 0.3998, 0.1957], [0.6002, 0.9346, 0.8043], [0.2697, 0.2697, 0.8049], [0.3998, 0.0654, 0.1957]],
  "e_form_raw_ev_per_atom": -0.95,
  "crystal_system": "monoclinic",
  "magmom_total_mub_per_atom": 0.580
}

=====

# 3
{
  "formula": "KNaTa2Ga",
  "functional": "PBE",
  "state": "optimized geometry",
  "lattice_angstrom": [[4.9965, 0.0000, 0.0000], [0.0000, 5.1101, 0.0000], [0.0000, 0.0000, 4.9965]],
  "species": ["Na", "K", "Ga", "Ta", "Ta"],
  "fractional_positions": [[0.0000, 0.0000, 0.0000], [0.5000, 0.5000, 0.5000], [0.0000, 0.5000, 0.0000], [0.0000, 0.0000, 0.5000], [0.5000, 0.0000, 0.0000]],
  "formation_enthalpy_0k_ev_per_atom": 2.171,
  "crystal_system": "tetragonal",
  "magmom_total_mub_per_atom": 0.227
}

=====

# 4
{
  "formula": "Nd3Sm5Sb8",
  "functional": "PBE",
  "state": "optimized geometry",
  "lattice_angstrom": [[7.7956, 0.0000, 4.4653], [2.6189, 7.3425, 4.4653], [0.0312, 0.0220, 8.9829]],
  "species": ["Nd", "Nd", "Nd", "Sm", "Sm", "Sm", "Sm", "Sm", "Sb", "Sb", "Sb", "Sb", "Sb", "Sb", "Sb", "Sb"],
  "fractional_positions": [[0.5000, 0.0000, 0.5000], [0.0000, 0.0000, 0.5000], [0.0000, 0.5000, 0.5000], [0.5000, 0.0000, 0.0000], [0.5000, 0.5000, 0.0000], [0.0000, 0.0000, 0.0000], [0.0000, 0.5000, 0.0000], [0.5000, 0.5000, 0.5000], [0.2500, 0.2500, 0.7522], [0.2500, 0.7478, 0.7522], [0.7478, 0.2500, 0.7522], [0.7489, 0.7489, 0.7533], [0.7500, 0.7500, 0.2478], [0.7500, 0.2522, 0.2478], [0.2522, 0.7500, 0.2478], [0.2511, 0.2511, 0.2467]],
  "e_form_raw_ev_per_atom": -1.18,
  "crystal_system": "trigonal",
  "magmom_total_mub_per_atom": 0.000
}

=====

# 5
{
  "formula": "YAg2N2",
  "functional": "PBE",
  "state": "optimized geometry",
  "lattice_angstrom": [[3.6720, 0.0000, 0.0000], [0.0000, 3.6720, 0.0000], [1.8360, 1.8360, 6.0135]],
  "species": ["Y", "Ag", "Ag", "N", "N"],
  "fractional_positions": [[0.0000, 0.0000, 0.0000], [0.7500, 0.2500, 0.5000], [0.2500, 0.7500, 0.5000], [0.4455, 0.4455, 0.1090], [0.5545, 0.5545, 0.8910]],
  "e_form_raw_ev_per_atom": 0.13,
  "crystal_system": "tetragonal",
  "polymorph_energy_mev_per_atom": 0,
  "magmom_total_mub_per_atom": 0.000
}

=====

# 6
{
  "formula": "SmAlCd",
  "functional": "PBE",
  "state": "optimized geometry",
  "lattice_angstrom": [[-0.8246, -3.0118, -0.4703], [1.4008, 0.0584, -2.8296], [6.7526, -0.9873, 5.0846]],
  "species": ["Al", "Sm", "Cd"],
  "fractional_positions": [[0.7718, 0.7718, 0.5435], [0.1381, 0.1381, 0.2763], [0.9401, 0.9401, 0.8802]],
  "formation_enthalpy_0k_ev_per_atom": 0.159,
  "crystal_system": "tetragonal",
  "magmom_total_mub_per_atom": 0.000
}

=====

Copy entry 4 word for word.
{
  "formula": "Nd3Sm5Sb8",
  "functional": "PBE",
  "state": "optimized geometry",
  "lattice_angstrom": [[7.7956, 0.0000, 4.4653], [2.6189, 7.3425, 4.4653], [0.0312, 0.0220, 8.9829]],
  "species": ["Nd", "Nd", "Nd", "Sm", "Sm", "Sm", "Sm", "Sm", "Sb", "Sb", "Sb", "Sb", "Sb", "Sb", "Sb", "Sb"],
  "fractional_positions": [[0.5000, 0.0000, 0.5000], [0.0000, 0.0000, 0.5000], [0.0000, 0.5000, 0.5000], [0.5000, 0.0000, 0.0000], [0.5000, 0.5000, 0.0000], [0.0000, 0.0000, 0.0000], [0.0000, 0.5000, 0.0000], [0.5000, 0.5000, 0.5000], [0.2500, 0.2500, 0.7522], [0.2500, 0.7478, 0.7522], [0.7478, 0.2500, 0.7522], [0.7489, 0.7489, 0.7533], [0.7500, 0.7500, 0.2478], [0.7500, 0.2522, 0.2478], [0.2522, 0.7500, 0.2478], [0.2511, 0.2511, 0.2467]],
  "e_form_raw_ev_per_atom": -1.18,
  "crystal_system": "trigonal",
  "magmom_total_mub_per_atom": 0.000
}

=====

> Number 5 is which compound?

YAg2N2